# RbPC3

RbPC3 after structural relaxation (PBE, Alexandria via LeMat-Bulk).

## Properties
Space-group type: Pm-3m
Total moment in μB per cell: 0.0
Total DFT energy (no corrections) in eV/cell: -22.6

Geometry as POSCAR:
```
RbPC3
1.0
3.8978 0.0000 0.0000
0.0000 3.8978 0.0000
0.0000 0.0000 3.8978
C Rb P
3 1 1
Cartesian
1.9489 0.0000 0.0000
0.0000 0.0000 1.9489
0.0000 1.9489 0.0000
1.9489 1.9489 1.9489
0.0000 0.0000 0.0000
```

# RbPCS2

RbPCS2 after structural relaxation (PBE, Alexandria via LeMat-Bulk).

## Properties
Space-group type: P4/mmm
Total moment in μB per cell: 5.9
Formation energy without anion corrections in meV per atom: 2959

Geometry as POSCAR:
```
RbPCS2
1.0
6.3955 0.0000 0.0000
0.0000 6.3955 0.0000
0.0000 0.0000 6.7905
S C Rb P
2 1 1 1
Cartesian
3.1977 0.0000 0.0000
0.0000 3.1977 0.0000
3.1977 3.1977 3.3952
0.0000 0.0000 0.0000
0.0000 0.0000 3.3952
```

# RbPCS2

RbPCS2 after structural relaxation (PBE, Alexandria via LeMat-Bulk).

## Properties
Space-group type: P4/mmm
Total moment in μB per cell: 0.0
Formation energy without anion corrections in meV per atom: 941

Geometry as POSCAR:
```
RbPCS2
1.0
4.8652 0.0000 0.0000
0.0000 4.8652 0.0000
0.0000 0.0000 3.9549
C S P Rb
1 2 1 1
Cartesian
0.0000 0.0000 0.0000
0.0000 2.4326 0.0000
2.4326 0.0000 0.0000
0.0000 0.0000 1.9774
2.4326 2.4326 1.9774
```

# RbTiP2C

RbTiP2C after structural relaxation (PBE, Alexandria via LeMat-Bulk).

## Properties
Space-group type: P4/mmm
Total moment in μB per cell: 0.7
Total DFT energy (no corrections) in eV/cell: -15.2

Geometry as POSCAR:
```
RbTiP2C
1.0
5.0847 0.0000 0.0000
0.0000 4.3309 0.0000
0.0000 0.0000 5.0847
Rb P C Ti
1 2 1 1
Cartesian
0.0000 0.0000 0.0000
2.5424 0.0000 0.0000
0.0000 0.0000 2.5424
0.0000 2.1654 0.0000
2.5424 2.1654 2.5424
```

# RbZnPC2

RbZnPC2 after structural relaxation (PBE, Alexandria via LeMat-Bulk).

## Properties
Space-group type: P4/mmm
Total moment in μB per cell: 0.0
Total DFT energy (no corrections) in eV/cell: -13.8

Geometry as POSCAR:
```
RbZnPC2
1.0
-0.2097 -3.9488 1.3585
0.5992 -1.8241 -5.2098
4.1515 -0.0502 0.4951
Rb P C Zn
1 1 2 1
Cartesian
0.2996 -0.9121 -2.6049
2.2705 -2.9115 -1.6781
-0.1049 -1.9744 0.6792
2.0758 -0.0251 0.2475
0.0000 0.0000 0.0000
```

# Rb2ZnPC

Rb2ZnPC after structural relaxation (PBE, Alexandria via LeMat-Bulk).

## Properties
Space-group type: P4/mmm
Total moment in μB per cell: 0.0
Total DFT energy (no corrections) in eV/cell: -14.8

Geometry as POSCAR:
```
Rb2ZnPC
1.0
-3.1273 -5.8866 0.5361
3.1738 -1.7093 -0.2553
0.6694 0.2499 6.6490
P Rb C Zn
1 2 1 1
Cartesian
0.0000 0.0000 0.0000
0.3347 0.1249 3.3245
-1.5636 -2.9433 0.2681
1.5869 -0.8547 -0.1277
0.3580 -3.6730 3.4649
```

# ReP3C

ReP3C after structural relaxation (PBE, Alexandria via LeMat-Bulk).

## Properties
Space-group type: Pm-3m
Total moment in μB per cell: 0.3
Total DFT energy (no corrections) in eV/cell: -32.1

Geometry as POSCAR:
```
ReP3C
1.0
-0.1244 -2.1647 3.2797
3.6994 -1.1713 -0.6328
1.3255 3.0660 2.0739
Re P C
1 3 1
Cartesian
2.4503 -0.1350 2.3604
-0.0622 -1.0824 1.6399
0.6627 1.5330 1.0369
1.8497 -0.5856 -0.3164
0.0000 0.0000 0.0000
```

# Re2PC

Re2PC after structural relaxation (PBE, Alexandria via LeMat-Bulk).

## Properties
Space-group type: I-42d
Total moment in μB per cell: 1.9
Total DFT energy (no corrections) in eV/cell: -74.5

Geometry as POSCAR:
```
Re2PC
1.0
5.0722 0.0000 0.0000
0.0000 5.0722 0.0000
2.5361 2.5361 4.7680
C Re P
2 4 2
Cartesian
2.5361 5.0722 2.3840
2.5361 2.5361 0.0000
6.3402 6.0842 3.5760
1.5240 3.8041 1.1920
3.5481 1.2680 1.1920
3.8041 4.0601 3.5760
0.0000 0.0000 0.0000
5.0722 2.5361 2.3840
```

# RePC2

RePC2 after structural relaxation (PBE, Alexandria via LeMat-Bulk).

## Properties
Space-group type: I-42d
Total moment in μB per cell: 0.0
Total DFT energy (no corrections) in eV/cell: -67.3

Geometry as POSCAR:
```
RePC2
1.0
-2.2555 1.1490 3.8962
3.7238 -1.1956 2.5083
2.1493 3.7615 2.9053
Re C P
2 4 2
Cartesian
0.0000 0.0000 0.0000
0.3140 2.4436 5.0018
2.3547 2.7420 4.7100
2.7046 2.8421 7.6535
-0.2905 1.4498 3.2740
2.4664 0.3960 2.9820
3.3036 1.2713 4.3079
0.7341 -0.0233 3.2022
```

# Re2PC

Re2PC after structural relaxation (PBE, Alexandria via LeMat-Bulk).

## Properties
Space-group type: Fm-3m
Total moment in μB per cell: 0.0
Total DFT energy (no corrections) in eV/cell: -36.8

Geometry as POSCAR:
```
Re2PC
1.0
1.1164 2.6679 2.8117
-1.9220 3.5332 0.3039
-2.4011 0.7246 3.1591
P C Re
1 1 2
Cartesian
-1.6033 3.4629 3.1374
0.0000 0.0000 0.0000
-2.4050 5.1943 4.7061
-0.8017 1.7314 1.5687
```

# ReP3C

ReP3C after structural relaxation (PBE, Alexandria via LeMat-Bulk).

## Properties
Space-group type: Pm-3m
Total moment in μB per cell: 1.3
Total DFT energy (no corrections) in eV/cell: -28.9

Geometry as POSCAR:
```
ReP3C
1.0
4.6041 0.0000 0.0000
0.0000 4.6041 0.0000
0.0000 0.0000 4.6041
P Re C
3 1 1
Cartesian
0.0000 0.0000 2.3021
2.3021 0.0000 0.0000
0.0000 2.3021 0.0000
0.0000 0.0000 0.0000
2.3021 2.3021 2.3021
```

# ReP2RuC

ReP2RuC after structural relaxation (PBE, Alexandria via LeMat-Bulk).

## Properties
Space-group type: P4/mmm
Total moment in μB per cell: 0.5
Total DFT energy (no corrections) in eV/cell: -36.3

Geometry as POSCAR:
```
ReP2RuC
1.0
4.1276 0.0000 0.0000
0.0000 3.7819 0.0000
0.0000 0.0000 4.1276
P C Ru Re
2 1 1 1
Cartesian
0.0000 0.0000 2.0638
2.0638 0.0000 0.0000
0.0000 0.0000 0.0000
0.0000 1.8910 0.0000
2.0638 1.8910 2.0638
```

Which value of total moment does entry 4 give?
0.7 μB per cell